Entry 1:
Density functional theory data (GGA-PBE) for Cr2NiW after structural relaxation.

Computed properties:
Its density of states at the Fermi level is 4.60 states/eV/cell. As for the calculated formation energy: 0.2557 eV/atom.

Cell lengths 4.512, 4.512, 4.674 Å; angles 97.49, 97.49, 32.97 degrees
Element x y z (fractional)
Cr1 0.000 0.000 0.000
Cr2 0.243 0.243 0.767
Ni1 0.507 0.507 0.522
W1 0.760 0.760 0.278

---

Entry 2:
Density functional theory data (GGA-PBE) for CrNiW2 after structural relaxation.

Computed properties:
Its density of states at the Fermi level is 6.44 states/eV/cell. As for the calculated formation energy: 0.3933 eV/atom.

Cell lengths 9.052, 9.052, 9.052 Å; angles 17.26, 17.26, 17.26 degrees
Element x y z (fractional)
Cr1 0.000 0.000 0.000
Ni1 0.500 0.500 0.500
W1 0.248 0.248 0.248
W2 0.752 0.752 0.752

---

Entry 3:
Density functional theory data (GGA-PBE) for Cr2NiW after structural relaxation.

Computed properties:
Its density of states at the Fermi level is 5.04 states/eV/cell. As for the calculated formation energy: 0.2635 eV/atom.

Cell lengths 2.512, 3.816, 5.353 Å; angles 90.00, 90.00, 90.00 degrees
Element x y z (fractional)
Cr1 0.000 0.000 0.223
Cr2 0.000 0.000 0.777
Ni1 0.500 0.500 0.000
W1 0.500 0.500 0.500

---

Entry 4:
Density functional theory data (GGA-PBE) for Cr2NiW after structural relaxation.

Computed properties:
Its density of states at the Fermi level is 4.47 states/eV/cell. As for the calculated formation energy: 0.2968 eV/atom.

Cell lengths 4.651, 4.651, 2.574 Å; angles 90.00, 90.00, 112.24 degrees
Element x y z (fractional)
Cr1 0.000 0.500 0.000
Cr2 0.500 0.000 0.000
Ni1 0.000 0.000 0.500
W1 0.500 0.500 0.500

---

Entry 5:
Density functional theory data (GGA-PBE) for Cr2NiW after structural relaxation.

Computed properties:
Its density of states at the Fermi level is 4.99 states/eV/cell. As for the calculated formation energy: 0.1666 eV/atom.

Cell lengths 2.560, 4.121, 4.902 Å; angles 90.00, 100.13, 90.00 degrees
Element x y z (fractional)
Cr1 0.000 0.000 0.000
Cr2 0.248 0.500 0.798
Ni1 0.905 0.500 0.270
W1 0.516 0.000 0.510

---

Entry 6:
Density functional theory data (GGA-PBE) for CrNiW2 after structural relaxation.

Computed properties:
Its density of states at the Fermi level is 5.91 states/eV/cell. As for the calculated formation energy: 0.2051 eV/atom.

Cell lengths 4.894, 4.894, 2.634 Å; angles 98.48, 98.48, 113.44 degrees
Element x y z (fractional)
Cr1 0.000 0.000 0.000
Ni1 0.500 0.500 0.000
W1 0.000 0.500 0.500
W2 0.500 0.000 0.500

---

Entry 7:
Density functional theory data (GGA-PBE) for CrNiW2 after structural relaxation.

Computed properties:
Its density of states at the Fermi level is 3.91 states/eV/cell. As for the calculated formation energy: 0.2816 eV/atom.

Cell lengths 2.599, 3.936, 5.491 Å; angles 90.00, 90.00, 90.00 degrees
Element x y z (fractional)
Cr1 0.000 0.000 0.000
Ni1 0.500 0.500 0.228
W1 0.000 0.000 0.465
W2 0.500 0.500 0.750

---

Entry 8:
Density functional theory data (GGA-PBE) for CrNiW2 after structural relaxation.

Computed properties:
Its density of states at the Fermi level is 1.08 states/eV/cell. As for the calculated formation energy: 0.2362 eV/atom.

Cell lengths 4.274, 4.274, 4.274 Å; angles 60.00, 60.00, 60.00 degrees
Element x y z (fractional)
Cr1 0.000 0.000 0.000
Ni1 0.500 0.500 0.500
W1 0.250 0.250 0.250
W2 0.750 0.750 0.750

---

Entry 9:
Density functional theory data (GGA-PBE) for CrNiW2 after structural relaxation.

Computed properties:
Its density of states at the Fermi level is 4.82 states/eV/cell. As for the calculated formation energy: 0.2267 eV/atom.

Cell lengths 2.651, 2.651, 7.951 Å; angles 90.00, 90.00, 90.00 degrees
Element x y z (fractional)
Cr1 0.000 0.000 0.000
Ni1 0.000 0.000 0.500
W1 0.500 0.500 0.258
W2 0.500 0.500 0.742

---

Entry 10:
Density functional theory data (GGA-PBE) for Cr2NiW after structural relaxation.

Computed properties:
Its density of states at the Fermi level is 6.33 states/eV/cell. As for the calculated formation energy: 0.2048 eV/atom.

Cell lengths 4.931, 4.931, 2.543 Å; angles 100.28, 100.28, 118.19 degrees
Element x y z (fractional)
Cr1 0.000 0.500 0.000
Cr2 0.500 0.000 0.000
Ni1 0.000 0.000 0.500
W1 0.500 0.500 0.500

---

Entry 11:
Density functional theory data (GGA-PBE) for CrNiW2 after structural relaxation.

Computed properties:
Its density of states at the Fermi level is 4.08 states/eV/cell. As for the calculated formation energy: 0.2325 eV/atom.

Cell lengths 2.630, 2.630, 8.071 Å; angles 90.00, 90.00, 90.00 degrees
Element x y z (fractional)
Cr1 0.000 0.000 0.000
Ni1 0.500 0.500 0.208
W1 0.000 0.000 0.448
W2 0.500 0.500 0.736

---

Entry 12:
Density functional theory data (GGA-PBE) for CrNiW3 after structural relaxation.

Computed properties:
Its density of states at the Fermi level is 5.14 states/eV/cell. As for the calculated formation energy: 1.6383 eV/atom.

Cell lengths 4.448, 4.448, 4.448 Å; angles 90.00, 90.00, 90.00 degrees
Element x y z (fractional)
Cr1 0.000 0.000 0.000
Ni1 0.500 0.500 0.500
W1 0.000 0.000 0.500
W2 0.000 0.500 0.000
W3 0.500 0.000 0.000

---

Quick rundown of size of the total moment, same order as above: 0.000, 0.310, 0.000, 0.000, 0.000, 0.003, 0.005, 0.000, 0.230, 0.001, 0.000, 0.000 μB/atom